# CaTcAg2Bi, relaxed, DFT PBE-GGA
data_CaTcAg2Bi
_cell_length_a 5.1996
_cell_length_b 5.1996
_cell_length_c 4.9840
_cell_angle_alpha 90.00
_cell_angle_beta 90.00
_cell_angle_gamma 90.00
_space_group_name_H-M_alt 'P 4/m m m'
_space_group_IT_number 123
_space_group_name_Hall '-P 4 2'
loop_
_atom_site_label
_atom_site_type_symbol
_atom_site_fract_x
_atom_site_fract_y
_atom_site_fract_z
Ca1 Ca 0.0000 0.0000 0.0000
Tc1 Tc 0.0000 0.0000 0.5000
Ag1 Ag 0.0000 0.5000 0.0000
Bi1 Bi 0.5000 0.5000 0.5000
# Calculated volume in Å³/atom: 26.95
# Calculated total energy in eV/atom: -3.082
# Formation enthalpy at 0 K in eV per formula unit: 6.543